# 1
Computed, not measured: a geometry-optimized Tb3Ni19B10 structure at the GGA-PBE level of DFT.

Cell: 5.7899 7.9176 7.9176 Å, 67.13 91.15 91.15°
With the nearest neighbours (Å) after each atom.
Sites, in units of the cell vectors:
Ni  0.7024  0.1625  0.1625  4 B 2.10-2.31
Ni  0.3015  0.5181  0.0450  4 B 2.14-2.35, 1 Ni 2.39
Ni  0.6989  0.7707  0.2880  3 B 2.07-2.17
B  0.5688  0.6997  0.0643  6 Ni 2.04-2.27
Ni  0.2714  0.1823  0.1823  4 B 2.04-2.13
Ni  0.6985  0.4819  0.9550  4 B 2.14-2.35, 1 Ni 2.39
Tb  0.6122  0.3741  0.3741  6 B 2.79-2.94, 11 Ni 2.83-3.07
Ni  0.5000  0.0000  0.0000  4 B 2.27, 2 Ni 2.42
B  0.5688  0.0643  0.6997  6 Ni 2.04-2.27
Ni  0.3011  0.2293  0.7120  3 B 2.07-2.17
B  0.0000  0.3836  0.6164  1 B 2.04, 6 Ni 2.05-2.10
Tb  0.0000  0.0000  0.0000  14 Ni 2.78-2.89
Ni  0.3011  0.7120  0.2293  3 B 2.07-2.17
Tb  0.3878  0.6259  0.6259  6 B 2.79-2.94, 11 Ni 2.83-3.07
Ni  0.3015  0.0450  0.5181  4 B 2.14-2.35, 1 Ni 2.39
Ni  0.1243  0.3781  0.3781  4 B 2.05-2.13
Ni  0.0743  0.3781  0.8782  4 B 2.09-2.16
B  0.0246  0.8574  0.6514  1 B 1.80
B  0.0000  0.6164  0.3836  1 B 2.04, 6 Ni 2.05-2.10
Ni  0.6989  0.2880  0.7707  3 B 2.07-2.17
Ni  0.6985  0.9550  0.4819  4 B 2.14-2.35, 1 Ni 2.39
Ni  0.0743  0.8782  0.3781  4 B 2.09-2.16
B  0.9754  0.3486  0.1426  1 B 1.80
Ni  0.9257  0.6219  0.1218  4 B 2.09-2.16
Ni  0.9257  0.1218  0.6219  4 B 2.09-2.16
B  0.0246  0.6514  0.8574  1 B 1.80
Ni  0.8757  0.6219  0.6219  4 B 2.05-2.13
B  0.4312  0.3003  0.9357  6 Ni 2.04-2.27
B  0.4312  0.9357  0.3003  6 Ni 2.04-2.27
Ni  0.2976  0.8375  0.8375  4 B 2.10-2.31
B  0.9754  0.1426  0.3486  1 B 1.80
Ni  0.7286  0.8177  0.8177  4 B 2.04-2.13

Results
Space-group type: C2/m (12)
Mass density: 8.44 g/cm3
Calculated volume: 334.32 Å³/cell
Uncorrected energy: -200.2 eV/cell
Magnetization: 0.0 μB/f.u.

# 2
Computed, not measured: a geometry-optimized TbNiB4 structure at the GGA-PBE level of DFT.

Cell: 6.8285 6.8285 6.8285 Å, 102.75 112.93 112.93°
With the nearest neighbours (Å) after each atom.
Sites, in units of the cell vectors:
B  0.0000  0.4188  0.8864  3 B 1.70-1.75
B  0.4675  0.5812  0.5812  3 B 1.70-1.75
B  0.8360  0.7245  0.1116  4 B 1.68-1.75
B  0.8360  0.1116  0.7245  4 B 1.68-1.75
Tb  0.5000  0.2500  0.7500  16 B 2.80-2.85, 4 Ni 2.96
Tb  0.0000  0.2029  0.2029  16 B 2.78-2.87, 4 Ni 3.06
Ni  0.7714  0.2714  0.5000  6 B 2.08-2.19
B  0.0000  0.8864  0.4188  3 B 1.70-1.75
B  0.3871  0.2755  0.1116  4 B 1.68-1.75
B  0.1640  0.2755  0.8884  4 B 1.68-1.75
B  0.6129  0.8884  0.7245  4 B 1.68-1.75
B  0.5325  0.1136  0.1136  3 B 1.70-1.75
B  0.5325  0.4188  0.4188  3 B 1.70-1.75
Ni  0.2286  0.5000  0.7286  6 B 2.08-2.19
B  0.3871  0.1116  0.2755  4 B 1.68-1.75
Ni  0.7714  0.5000  0.2714  6 B 2.08-2.19
Ni  0.2286  0.7286  0.5000  6 B 2.08-2.19
Tb  0.5000  0.7500  0.2500  16 B 2.80-2.85, 4 Ni 2.96
B  0.0000  0.1136  0.5812  3 B 1.70-1.75
B  0.0000  0.5812  0.1136  3 B 1.70-1.75
B  0.1640  0.8884  0.2755  4 B 1.68-1.75
B  0.4675  0.8864  0.8864  3 B 1.70-1.75
Tb  0.0000  0.7971  0.7971  16 B 2.78-2.87, 4 Ni 3.06
B  0.6129  0.7245  0.8884  4 B 1.68-1.75

Results
Space-group type: I4/mmm (139)
Mass density: 7.14 g/cm3
Calculated volume: 242.62 Å³/cell
Excess energy over the best structure of this formula in the dataset: 0.0 meV per atom
Uncorrected energy: -161.5 eV/cell
Magnetization: 0.0 μB/f.u.

# 3
Computed, not measured: a geometry-optimized Tb2Ni15B9 structure at the GGA-PBE level of DFT.

Cell: 9.8556 9.8556 11.2966 Å, 90.00 90.00 72.45°
With the nearest neighbours (Å) after each atom.
Sites, in units of the cell vectors:
B  0.5441  0.4559  0.1725  1 B 1.87, 3 Ni 2.02-2.04
Ni  0.5000  0.5000  0.0000  4 B 2.02-2.15
Ni  0.8164  0.9913  0.3397  4 B 2.17-2.24
B  0.4076  0.2980  0.4500  1 B 1.70
Ni  0.6621  0.8644  0.4708  3 B 2.03-2.16
Ni  0.5682  0.9318  0.2500  4 B 2.03-2.08
B  0.0511  0.5499  0.4001  1 B 1.97, 6 Ni 2.00-2.17
B  0.8648  0.8648  0.5000  7 Ni 1.97-2.17
B  0.5499  0.0511  0.5999  1 B 1.97, 6 Ni 2.00-2.17
B  0.1212  0.6207  0.2563  1 B 1.97, 6 Ni 2.06-2.16
B  0.5924  0.7020  0.5500  1 B 1.70
Ni  0.8314  0.0110  0.8064  4 B 2.00-2.15
Ni  0.4890  0.6686  0.6936  4 B 2.00-2.15
B  0.9427  0.0573  0.1994  1 B 1.87, 1 Ni 2.06
Ni  0.2270  0.0061  0.8814  5 B 2.07-2.16
Ni  0.4720  0.7419  0.9021  4 B 1.97-2.17
Tb  0.8074  0.6926  0.2500  10 Ni 2.79-3.11, 6 B 2.79-2.96
Ni  0.5087  0.6836  0.1603  4 B 2.17-2.24
Ni  0.9890  0.1686  0.8064  4 B 2.00-2.15
Ni  0.1686  0.9890  0.1936  4 B 2.00-2.15
Ni  0.1836  0.0087  0.6603  4 B 2.17-2.24
Ni  0.9475  0.3934  0.9143  4 B 2.03-2.17
Ni  0.3644  0.1621  0.9708  3 B 2.03-2.16
Ni  0.7730  0.9939  0.1186  5 B 2.07-2.16
Ni  0.4913  0.3164  0.8397  4 B 2.17-2.24
B  0.0441  0.9559  0.3275  1 B 1.87, 3 Ni 2.02-2.04
Ni  0.0061  0.2270  0.1186  5 B 2.07-2.16
Tb  0.1926  0.3074  0.7500  10 Ni 2.79-3.11, 6 B 2.79-2.96
Tb  0.6926  0.8074  0.7500  10 Ni 2.79-3.11, 6 B 2.79-2.96
Ni  0.0682  0.4318  0.2500  4 B 2.03-2.08
B  0.9501  0.4489  0.0999  1 B 1.97, 6 Ni 2.00-2.17
B  0.7980  0.9076  0.9500  1 B 1.70
Tb  0.7606  0.2394  0.9595  13 Ni 2.73-2.99
B  0.1352  0.1352  0.5000  7 Ni 1.97-2.17
Ni  0.6066  0.0525  0.9143  4 B 2.03-2.17
B  0.1207  0.6212  0.7563  1 B 1.97, 6 Ni 2.06-2.16
B  0.2020  0.0924  0.0500  1 B 1.70
Ni  0.2730  0.4939  0.3814  5 B 2.07-2.16
B  0.4559  0.5441  0.8275  1 B 1.87, 3 Ni 2.02-2.04
Ni  0.0000  0.0000  0.5000  4 B 2.02-2.15
B  0.6207  0.1212  0.7437  1 B 1.97, 6 Ni 2.06-2.16
Tb  0.3074  0.1926  0.2500  10 Ni 2.79-3.11, 6 B 2.79-2.96
B  0.6352  0.6352  0.0000  7 Ni 1.97-2.17
Ni  0.7270  0.5061  0.6186  5 B 2.07-2.16
Ni  0.3164  0.4913  0.1603  4 B 2.17-2.24
Ni  0.0087  0.1836  0.3397  4 B 2.17-2.24
B  0.6212  0.1207  0.2437  1 B 1.97, 6 Ni 2.06-2.16
B  0.2980  0.4076  0.5500  1 B 1.70
Ni  0.4318  0.0682  0.7500  4 B 2.03-2.08
B  0.3788  0.8793  0.7563  1 B 1.97, 6 Ni 2.06-2.16
B  0.9076  0.7980  0.0500  1 B 1.70
Ni  0.2419  0.9720  0.4021  4 B 1.97-2.17
B  0.3648  0.3648  0.0000  7 Ni 1.97-2.17
B  0.8788  0.3793  0.7437  1 B 1.97, 6 Ni 2.06-2.16
B  0.0499  0.5511  0.9001  1 B 1.97, 6 Ni 2.00-2.17
Ni  0.1356  0.3379  0.4708  3 B 2.03-2.16
Ni  0.5280  0.2581  0.0979  4 B 1.97-2.17
Ni  0.2665  0.7335  0.2883  3 B 2.06-2.09
Ni  0.3379  0.1356  0.5292  3 B 2.03-2.16
Tb  0.2606  0.7394  0.5405  13 Ni 2.73-2.99
Ni  0.9939  0.7730  0.8814  5 B 2.07-2.16
Ni  0.8644  0.6621  0.5292  3 B 2.03-2.16
Ni  0.5000  0.5000  0.5000  6 B 2.35-2.49, 4 Ni 2.62
B  0.4427  0.5573  0.3006  1 B 1.87, 1 Ni 2.06
Ni  0.3934  0.9475  0.0857  4 B 2.03-2.17
Ni  0.1066  0.5525  0.5857  4 B 2.03-2.17
Ni  0.7419  0.4720  0.0979  4 B 1.97-2.17
Ni  0.3314  0.5110  0.6936  4 B 2.00-2.15
B  0.5573  0.4427  0.6994  1 B 1.87, 1 Ni 2.06
Ni  0.5061  0.7270  0.3814  5 B 2.07-2.16
Ni  0.9720  0.2419  0.5979  4 B 1.97-2.17
Ni  0.9913  0.8164  0.6603  4 B 2.17-2.24
Ni  0.1621  0.3644  0.0292  3 B 2.03-2.16
B  0.5511  0.0499  0.0999  1 B 1.97, 6 Ni 2.00-2.17
Ni  0.6836  0.5087  0.8397  4 B 2.17-2.24
Ni  0.5525  0.1066  0.4143  4 B 2.03-2.17
B  0.3793  0.8788  0.2563  1 B 1.97, 6 Ni 2.06-2.16
Ni  0.4475  0.8934  0.5857  4 B 2.03-2.17
Ni  0.5110  0.3314  0.3064  4 B 2.00-2.15
Ni  0.2581  0.5280  0.9021  4 B 1.97-2.17
Ni  0.9318  0.5682  0.7500  4 B 2.03-2.08
B  0.0573  0.9427  0.8006  1 B 1.87, 1 Ni 2.06
B  0.8793  0.3788  0.2437  1 B 1.97, 6 Ni 2.06-2.16
B  0.9489  0.4501  0.5999  1 B 1.97, 6 Ni 2.00-2.17
Ni  0.7581  0.0280  0.5979  4 B 1.97-2.17
Ni  0.6686  0.4890  0.3064  4 B 2.00-2.15
B  0.4489  0.9501  0.9001  1 B 1.97, 6 Ni 2.00-2.17
B  0.9559  0.0441  0.6725  1 B 1.87, 3 Ni 2.02-2.04
Ni  0.8934  0.4475  0.4143  4 B 2.03-2.17
Ni  0.7665  0.2335  0.2117  3 B 2.06-2.09
Ni  0.8379  0.6356  0.9708  3 B 2.03-2.16
Ni  0.0110  0.8314  0.1936  4 B 2.00-2.15
Tb  0.7394  0.2606  0.4595  13 Ni 2.73-2.99
Ni  0.4939  0.2730  0.6186  5 B 2.07-2.16
B  0.7020  0.5924  0.4500  1 B 1.70
Ni  0.2335  0.7665  0.7883  3 B 2.06-2.09
Ni  0.7335  0.2665  0.7117  3 B 2.06-2.09
B  0.4501  0.9489  0.4001  1 B 1.97, 6 Ni 2.00-2.17
Ni  0.6356  0.8379  0.0292  3 B 2.03-2.16
Ni  0.0000  0.0000  0.0000  6 B 2.35-2.49, 4 Ni 2.62
Tb  0.2394  0.7606  0.0405  13 Ni 2.73-2.99
Ni  0.0525  0.6066  0.0857  4 B 2.03-2.17
B  0.0924  0.2020  0.9500  1 B 1.70
Ni  0.0280  0.7581  0.4021  4 B 1.97-2.17

Results
Space-group type: Cmce (64)
Mass density: 8.23 g/cm3
Calculated volume: 1046.21 Å³/cell
Uncorrected energy: -654.5 eV/cell
Magnetization: 0.0 μB/f.u.

> Among the records above, which one has the highest uncorrected energy?

TbNiB4